GdYMg | PBE-GGA | relaxed

Cell: 3.406 5.467 5.467 Å, 120.00 90.00 90.00°
Each line ends with the local moment (μB).
Atoms (fractional coordinates):
Y: 0.960 0.000 0.000  -0.01
Mg: 0.662 0.667 0.333  -0.01
Gd: 0.378 0.333 0.667  7.17

Properties
* formation energy: 0.036 eV per atom
* spin magnetization: 2.4679 μB/atom
* calculated volume: 29.391 Å³ per atom
* theoretical density: 5.09 Mg/m³
* offset from the most stable computed form: 0.0955 eV/atom